Record 1
# CePmZn2

An optimized crystal structure of CePmZn2 (PBE-GGA, the Alexandria database).

Geometry as CIF:
```
data_CePmZn2
_cell_length_a 3.620
_cell_length_b 3.620
_cell_length_c 7.370
_cell_angle_alpha 90.00
_cell_angle_beta 90.00
_cell_angle_gamma 90.00
_space_group_name_H-M_alt 'P 1'
_space_group_IT_number 1
_space_group_name_Hall 'P 1'
loop_
_atom_site_label
_atom_site_fract_x
_atom_site_fract_y
_atom_site_fract_z
Ce1 0.000 0.000 0.000
Pm1 0.000 0.000 0.500
Zn1 0.500 0.500 0.250
Zn2 0.500 0.500 0.750
```

Values from the calculation:
**DOS at the Fermi energy**: 7.7 states/eV/cell
**Calculated total energy**: -3.55 eV per atom
**Energy of formation from the pure elements**: -23.35 kJ per mole of atoms
**ρ**: 7.15 g/cm³
**Offset from the most stable computed form**: 0 meV per atom
**Total magnetic moment**: 0.73 μB/f.u.

Record 2
# TaCr4

An optimized crystal structure of TaCr4 (PBE-GGA, the Alexandria database).

Geometry as CIF:
```
data_TaCr4
_cell_length_a 3.814
_cell_length_b 3.814
_cell_length_c 9.544
_cell_angle_alpha 90.00
_cell_angle_beta 90.00
_cell_angle_gamma 90.00
_space_group_name_H-M_alt 'P 1'
_space_group_IT_number 1
_space_group_name_Hall 'P 1'
loop_
_atom_site_label
_atom_site_fract_x
_atom_site_fract_y
_atom_site_fract_z
Ta1 0.000 0.000 0.000
Ta2 0.500 0.500 0.500
Cr1 0.000 0.000 0.383
Cr2 0.000 0.000 0.617
Cr3 0.000 0.500 0.250
Cr4 0.000 0.500 0.750
Cr5 0.500 0.000 0.250
Cr6 0.500 0.000 0.750
Cr7 0.500 0.500 0.117
Cr8 0.500 0.500 0.883
```

Values from the calculation:
**DOS at the Fermi energy**: 15.2 states/eV/cell
**Calculated total energy**: -9.62 eV per atom
**Energy of formation from the pure elements**: 43.22 kJ per mole of atoms
**ρ**: 9.30 g/cm³
**Offset from the most stable computed form**: 0 meV per atom
**Total magnetic moment**: 0.26 μB/f.u.

Record 3
# Y2HoEr3As6

An optimized crystal structure of Y2HoEr3As6 (PBE-GGA, the Alexandria database).

Geometry as CIF:
```
data_Y2HoEr3As6
_cell_length_a 9.164
_cell_length_b 9.164
_cell_length_c 8.196
_cell_angle_alpha 102.88
_cell_angle_beta 102.88
_cell_angle_gamma 25.85
_space_group_name_H-M_alt 'P 1'
_space_group_IT_number 1
_space_group_name_Hall 'P 1'
loop_
_atom_site_label
_atom_site_fract_x
_atom_site_fract_y
_atom_site_fract_z
Y1 0.167 0.167 0.333
Y2 0.833 0.833 0.667
Ho1 0.500 0.500 0.000
Er1 0.167 0.167 0.833
Er2 0.500 0.500 0.500
Er3 0.833 0.833 0.167
As1 0.001 0.001 0.750
As2 0.333 0.333 0.919
As3 0.334 0.334 0.415
As4 0.666 0.666 0.585
As5 0.667 0.667 0.081
As6 0.999 0.999 0.250
```

Values from the calculation:
**DOS at the Fermi energy**: 1.8 states/eV/cell
**Calculated total energy**: -6.46 eV per atom
**Energy of formation from the pure elements**: -147.95 kJ per mole of atoms
**ρ**: 7.36 g/cm³
**Total magnetic moment**: 0.00 μB/f.u.

Which of these has the lowest ρ?
CePmZn2

What is the formula in the first record?
CePmZn2

total magnetic moment of number 1 (CePmZn2)?
0.73 μB/f.u.